#A
Al2HgAu: relaxed, GGA-PBE.

Properties
- Magnetic moment: 0.000 μB/atom

a b c (Å): 5.918 9.137 3.547
angles (deg): 90.00 123.88 90.00
Space group C2/m (No. 12)
One atom of each set of equivalent atoms:
Al  0.250  0.250  0.000 [4 per cell]
Hg  0.000  0.000  0.000 [2 per cell]
Au  0.000  0.500  0.000 [2 per cell]

#B
Al2HgAu: relaxed, GGA-PBE.

Properties
- Magnetic moment: 0.000 μB/atom

a b c (Å): 3.784 3.784 5.324
angles (deg): 90.00 90.00 90.00
Space group P4mm (No. 99)
One atom of each set of equivalent atoms:
Al  0.000  0.000  0.000 [1 per cell]
Al  0.500  0.500  0.316 [1 per cell]
Hg  0.500  0.500  0.814 [1 per cell]
Au  0.000  0.000  0.477 [1 per cell]

#B ends up most stable, edging out the next structure by 111 meV per atom.